VASP calculation (PBE-GGA) on a geometry-optimized Sm4TlTe2 structure.

Unit cell a=9.819 b=9.819 c=9.621 alpha=90.00 beta=90.00 gamma=90.00
Space group I4_1/amd (No. 141, origin choice 2)
Unique sites:
Sm 0.000 0.060 0.185 (multiplicity 16)
Tl 0.000 0.250 0.875 (multiplicity 4)
Te 0.000 0.000 0.500 (multiplicity 8)

DFT total energy (eV/atom): -4.7527
V (Å³ per cell): 927.6